Crystalline FeOsI2O at its relaxed geometry. Source: the Alexandria database, functional PBE+U.

a = 5.626 Å, b = 5.626 Å, c = 3.761 Å
α = 90.00°, β = 90.00°, γ = 90.00°
Element x y z (fractional)
I  0.500  0.000  0.000
I  0.000  0.500  0.000
Fe  0.500  0.500  0.500
O  0.000  0.000  0.500
Os  0.000  0.000  0.000

Computed properties:
Magnetic moment, μB per atom: 0.919
DOS(E_F), states/eV per cell: 4.70
VASP energy, eV per atom: -4.696